(1)
Entry from the Alexandria database: Ba2Cd5Ge after structural relaxation (PBE).

POSCAR file:
```
Ba2Cd5Ge
1.0
2.5917 -9.0674 0.0000
2.5917 9.0674 0.0000
0.0000 0.0000 10.0274
Ba Cd Ge
4 10 2
direct
0.0000 0.0000 0.0000
0.0000 0.0000 0.5000
0.2031 0.7969 0.7500
0.7969 0.2031 0.2500
0.1867 0.8133 0.1052
0.1867 0.8133 0.3948
0.3518 0.6482 0.0242
0.3518 0.6482 0.4758
0.4111 0.5889 0.7500
0.5889 0.4111 0.2500
0.6482 0.3518 0.5242
0.6482 0.3518 0.9758
0.8133 0.1867 0.6052
0.8133 0.1867 0.8948
0.4383 0.5617 0.2500
0.5617 0.4383 0.7500
```

Summary:
The value obtained for the total magnetization is 0.000 μB/f.u. Its space group is No. 63.

(2)
Entry from the Alexandria database: BaCd2Ge after structural relaxation (PBE).

POSCAR file:
```
BaCd2Ge
1.0
-2.7125 2.7125 9.4915
2.7125 -2.7125 9.4915
2.7125 2.7125 -9.4915
Ba Cd Ge
2 4 2
direct
0.0000 0.0000 0.0000
0.7500 0.2500 0.5000
0.3520 0.6250 0.2270
0.3750 0.6020 0.7270
0.3980 0.1250 0.7730
0.8750 0.6480 0.2730
0.2500 0.7500 0.5000
0.5000 0.5000 0.0000
```

Summary:
The value obtained for the total magnetization is 0.000 μB/f.u. Its space group is No. 122.

no.,formation enthalpy at 0 K (kJ/mol of formula units),E (eV per atom)
1,-249.6,-1.953
2,-49.4,-2.221